Density functional theory data (PBE with a Hubbard U) for crystalline TmV2F8 at its relaxed geometry.

Unit cell a=9.9525 b=7.2112 c=4.3029 alpha=90.00 beta=92.18 gamma=90.00
Space group C2/m (No. 12)
Asymmetric unit:
Tm 0.0000 0.0000 0.0000 x2
V 0.1206 0.5000 0.2584 x4
F 0.0902 0.5000 0.7546 x4
F 0.1008 0.2238 0.2466 x8
F 0.1808 0.0000 0.7439 x4

Values from the calculation:
Raw total energy   -139.125 eV for the cell shown
V   14.0 Å³ per atom
E above lowest polymorph   0.00 eV/f.u.